# 1
VASP calculation (PBE) on Th4TlHg2 after structural relaxation.

Geometry as POSCAR:
```
Th4TlHg2
1.0
2.388 1.379 11.479
-2.388 1.379 11.479
0.000 -2.757 11.479
Th Tl Hg
4 1 2
Cartesian
0.000 0.000 4.014
0.000 0.000 10.514
0.000 0.000 23.924
0.000 0.000 30.424
0.000 0.000 17.219
0.000 0.000 13.909
0.000 0.000 20.529
```

Computed properties:
The total DFT energy (no corrections) is -31.57 eV per cell. The volume comes out at 32.396 Å³ per atom.

# 2
VASP calculation (PBE) on Th2Tl2Hg after structural relaxation.

Geometry as POSCAR:
```
Th2Tl2Hg
1.0
1.757 -12.012 0.000
1.757 12.012 0.000
0.000 0.000 3.433
Th Tl Hg
2 2 1
Cartesian
1.757 9.765 0.000
1.757 -9.765 0.000
1.757 4.690 1.716
1.757 -4.690 1.716
1.757 0.000 1.716
```

Computed properties:
The total DFT energy (no corrections) is -20.16 eV per cell. The volume comes out at 28.979 Å³ per atom.

no.,DOS(E_F) (states/eV per cell),theoretical density (Mg/m³)
1,8.0,11.2
2,5.5,12.3